one:
First-principles (PBE-GGA) data for a geometry-optimized CaTlSbAu structure, as listed in Alexandria.

Geometry as POSCAR:
```
CaTlSbAu
1.0
3.5607 0.0000 0.0000
0.0000 3.5607 0.0000
0.0000 0.0000 8.5159
Ca Tl Sb Au
1 1 1 1
direct
0.0000 0.0000 0.0000 Ca
0.0000 0.0000 0.4461 Tl
0.5000 0.5000 0.7362 Sb
0.5000 0.5000 0.2045 Au
```

Values from the calculation:
Its mass density is 8.66 g cm⁻³.

***

two:
First-principles (PBE-GGA) data for a geometry-optimized CaTlSbAu structure, as listed in Alexandria.

Geometry as POSCAR:
```
CaTlSbAu
1.0
4.3951 0.0000 0.0000
0.0000 4.4097 0.0000
-1.7108 0.0000 5.7398
Ca Tl Sb Au
1 1 1 1
direct
0.0000 0.0000 0.0000 Ca
0.2637 0.5000 0.5888 Tl
0.5492 0.5000 0.1397 Sb
0.7518 0.0000 0.4504 Au
```

Values from the calculation:
Its mass density is 8.41 g cm⁻³.

***

three:
First-principles (PBE-GGA) data for a geometry-optimized CaTlSbAu structure, as listed in Alexandria.

Geometry as POSCAR:
```
CaTlSbAu
1.0
4.4405 0.0000 0.0000
-0.0212 4.6756 0.0000
-2.2011 -2.2350 4.9525
Ca Tl Sb Au
1 1 1 1
direct
0.0000 0.0000 0.0000 Ca
0.7684 0.2688 0.5381 Tl
0.5327 0.5340 0.0652 Sb
0.2424 0.7471 0.4872 Au
```

Values from the calculation:
Its mass density is 9.10 g cm⁻³.

***

four:
First-principles (PBE-GGA) data for a geometry-optimized CaTlSbAu structure, as listed in Alexandria.

Geometry as POSCAR:
```
CaTlSbAu
1.0
8.4521 0.0000 0.0000
0.0000 4.8901 0.0000
-2.8026 0.0000 5.5163
Ca Tl Sb Au
2 2 2 2
direct
0.0000 0.0000 0.0000 Ca
0.5000 0.5000 0.0000 Ca
0.2862 0.5000 0.3598 Tl
0.7862 0.0000 0.3598 Tl
0.2139 0.0000 0.6410 Sb
0.7139 0.5000 0.6410 Sb
0.1034 0.5000 0.8116 Au
0.6034 0.0000 0.8116 Au
```

Values from the calculation:
Its mass density is 8.20 g cm⁻³.

***

Short version: one is the least stable of them.

***

one:
First-principles (PBE-GGA) data for a geometry-optimized CaTlSbAu structure, as listed in Alexandria.

Geometry as POSCAR:
```
CaTlSbAu
1.0
4.3639 0.0000 0.0000
0.0000 5.0183 0.0000
0.0000 0.0000 4.7454
Ca Tl Sb Au
1 1 1 1
direct
0.0000 0.0000 0.0000 Ca
0.0000 0.5000 0.5788 Tl
0.5000 0.0000 0.4765 Sb
0.5000 0.5000 0.1151 Au
```

Values from the calculation:
Its mass density is 9.00 g cm⁻³.

***

two:
First-principles (PBE-GGA) data for a geometry-optimized CaTlSbAu structure, as listed in Alexandria.

Geometry as POSCAR:
```
CaTlSbAu
1.0
7.5477 0.0000 0.0000
0.0000 7.5477 0.0000
0.0000 0.0000 7.5477
Ca Tl Sb Au
4 4 4 4
direct
0.0000 0.0000 0.0000 Ca
0.0000 0.5000 0.5000 Ca
0.5000 0.0000 0.5000 Ca
0.5000 0.5000 0.0000 Ca
0.0000 0.0000 0.5000 Tl
0.0000 0.5000 0.0000 Tl
0.5000 0.0000 0.0000 Tl
0.5000 0.5000 0.5000 Tl
0.2500 0.2500 0.7500 Sb
0.2500 0.7500 0.2500 Sb
0.7500 0.2500 0.2500 Sb
0.7500 0.7500 0.7500 Sb
0.2500 0.2500 0.2500 Au
0.2500 0.7500 0.7500 Au
0.7500 0.2500 0.7500 Au
0.7500 0.7500 0.2500 Au
```

Values from the calculation:
Its mass density is 8.70 g cm⁻³.

***

Short version: two is the least stable of them.

***

one:
First-principles (PBE-GGA) data for a geometry-optimized CaTlSbAu structure, as listed in Alexandria.

Geometry as POSCAR:
```
CaTlSbAu
1.0
3.9452 0.0000 0.0000
0.0175 4.9729 0.0000
1.9635 1.7400 5.4231
Ca Tl Sb Au
1 1 1 1
direct
0.0000 0.0000 0.0000 Ca
0.2041 0.6829 0.5887 Tl
0.4378 0.4473 0.1240 Sb
0.7436 0.1834 0.5094 Au
```

Values from the calculation:
Its mass density is 8.79 g cm⁻³.

***

two:
First-principles (PBE-GGA) data for a geometry-optimized CaTlSbAu structure, as listed in Alexandria.

Geometry as POSCAR:
```
CaTlSbAu
1.0
10.0759 0.0000 0.0000
0.0000 4.4615 0.0000
-2.9123 0.0000 5.0828
Ca Tl Sb Au
2 2 2 2
direct
0.0000 0.0000 0.0000 Ca
0.5000 0.5000 0.0000 Ca
0.3938 0.0000 0.3569 Tl
0.8938 0.5000 0.3569 Tl
0.2104 0.0000 0.7113 Sb
0.7104 0.5000 0.7113 Sb
0.2140 0.5000 0.4185 Au
0.7140 0.0000 0.4185 Au
```

Values from the calculation:
Its mass density is 8.19 g cm⁻³.

***

Short version: two is the least stable of them.

***

one:
First-principles (PBE-GGA) data for a geometry-optimized CaTlSbAu structure, as listed in Alexandria.

Geometry as POSCAR:
```
CaTlSbAu
1.0
4.7736 0.0000 0.0000
-2.3868 4.1341 0.0000
0.0000 0.0000 6.0219
Ca Tl Sb Au
1 1 1 1
direct
0.0000 0.0000 0.0000 Ca
0.3333 0.6667 0.4500 Tl
0.6667 0.3333 0.7372 Sb
0.6667 0.3333 0.2279 Au
```

Values from the calculation:
Its mass density is 7.87 g cm⁻³.

***

two:
First-principles (PBE-GGA) data for a geometry-optimized CaTlSbAu structure, as listed in Alexandria.

Geometry as POSCAR:
```
CaTlSbAu
1.0
4.2822 0.0000 0.0000
0.0000 4.9765 0.0000
0.0000 0.0000 11.1921
Ca Tl Sb Au
2 2 2 2
direct
0.0000 0.0000 0.0000 Ca
0.0000 0.5000 0.5000 Ca
0.0000 0.0000 0.6949 Tl
0.0000 0.5000 0.1949 Tl
0.5000 0.0000 0.4811 Sb
0.5000 0.5000 0.9811 Sb
0.0000 0.0000 0.3125 Au
0.0000 0.5000 0.8125 Au
```

Values from the calculation:
Its mass density is 7.84 g cm⁻³.

***

three:
First-principles (PBE-GGA) data for a geometry-optimized CaTlSbAu structure, as listed in Alexandria.

Geometry as POSCAR:
```
CaTlSbAu
1.0
8.2835 0.0000 0.0000
0.0000 4.7956 0.0000
-2.7657 0.0000 5.8566
Ca Tl Sb Au
2 2 2 2
direct
0.0000 0.0000 0.0000 Ca
0.5000 0.5000 0.0000 Ca
0.3054 0.5000 0.4109 Tl
0.8054 0.0000 0.4109 Tl
0.2347 0.0000 0.6976 Sb
0.7347 0.5000 0.6976 Sb
0.3975 0.0000 0.1939 Au
0.8975 0.5000 0.1939 Au
```

Values from the calculation:
Its mass density is 8.04 g cm⁻³.

***

Short version: three is the least stable of them.

***

one:
First-principles (PBE-GGA) data for a geometry-optimized CaSc3Au structure, as listed in Alexandria.

Geometry as POSCAR:
```
CaSc3Au
1.0
5.2916 0.0000 0.0000
0.0000 5.2916 0.0000
0.0000 0.0000 5.2916
Ca Sc Au
1 3 1
direct
0.0000 0.0000 0.0000 Ca
0.0000 0.5000 0.5000 Sc
0.5000 0.0000 0.5000 Sc
0.5000 0.5000 0.0000 Sc
0.5000 0.5000 0.5000 Au
```

Values from the calculation:
Its mass density is 4.17 g cm⁻³.

***

two:
First-principles (PBE-GGA) data for a geometry-optimized CaSc3Au structure, as listed in Alexandria.

Geometry as POSCAR:
```
CaSc3Au
1.0
5.0090 0.0000 0.0000
0.0000 5.0090 0.0000
0.0000 0.0000 5.0090
Ca Sc Au
1 3 1
direct
0.0000 0.0000 0.0000 Ca
0.0000 0.0000 0.5000 Sc
0.0000 0.5000 0.0000 Sc
0.5000 0.0000 0.0000 Sc
0.5000 0.5000 0.5000 Au
```

Values from the calculation:
Its mass density is 4.91 g cm⁻³.

***

Short version: two is the least stable of them.

***

one:
First-principles (PBE-GGA) data for a geometry-optimized CaScZnAu structure, as listed in Alexandria.

Geometry as POSCAR:
```
CaScZnAu
1.0
6.9997 0.0000 0.0000
0.0000 6.9997 0.0000
0.0000 0.0000 6.9997
Ca Sc Zn Au
4 4 4 4
direct
0.0000 0.0000 0.0000 Ca
0.0000 0.5000 0.5000 Ca
0.5000 0.0000 0.5000 Ca
0.5000 0.5000 0.0000 Ca
0.0000 0.0000 0.5000 Sc
0.0000 0.5000 0.0000 Sc
0.5000 0.0000 0.0000 Sc
0.5000 0.5000 0.5000 Sc
0.2500 0.2500 0.7500 Zn
0.2500 0.7500 0.2500 Zn
0.7500 0.2500 0.2500 Zn
0.7500 0.7500 0.7500 Zn
0.2500 0.2500 0.2500 Au
0.2500 0.7500 0.7500 Au
0.7500 0.2500 0.7500 Au
0.7500 0.7500 0.2500 Au
```

Values from the calculation:
Its mass density is 6.73 g cm⁻³.

***

two:
First-principles (PBE-GGA) data for a geometry-optimized CaScZnAu structure, as listed in Alexandria.

Geometry as POSCAR:
```
CaScZnAu
1.0
3.5083 0.0000 0.0000
0.0000 3.5083 0.0000
0.0000 0.0000 7.0490
Ca Sc Zn Au
1 1 1 1
direct
0.0000 0.0000 0.0000 Ca
0.0000 0.0000 0.5006 Sc
0.5000 0.5000 0.7132 Zn
0.5000 0.5000 0.2894 Au
```

Values from the calculation:
Its mass density is 6.65 g cm⁻³.

***

Short version: one is the least stable of them.

***

one:
First-principles (PBE-GGA) data for a geometry-optimized Ca2Au2Se structure, as listed in Alexandria.

Geometry as POSCAR:
```
Ca2Au2Se
1.0
5.2849 0.0000 0.0000
0.0000 5.2849 0.0000
0.0000 0.0000 10.0823
Ca Au Se
4 4 2
direct
0.0000 0.5000 0.2500 Ca
0.0000 0.5000 0.7500 Ca
0.5000 0.0000 0.2500 Ca
0.5000 0.0000 0.7500 Ca
0.0000 0.0000 0.1310 Au
0.0000 0.0000 0.8690 Au
0.5000 0.5000 0.3690 Au
0.5000 0.5000 0.6310 Au
0.0000 0.0000 0.5000 Se
0.5000 0.5000 0.0000 Se
```

Values from the calculation:
Its mass density is 6.52 g cm⁻³.

***

two:
First-principles (PBE-GGA) data for a geometry-optimized Ca2Au2Se structure, as listed in Alexandria.

Geometry as POSCAR:
```
Ca2Au2Se
1.0
3.8622 0.0000 0.0000
0.0000 3.8622 0.0000
0.0000 0.0000 16.5537
Ca Au Se
4 4 2
direct
0.0000 0.0000 0.1047 Ca
0.0000 0.0000 0.8953 Ca
0.5000 0.5000 0.3953 Ca
0.5000 0.5000 0.6047 Ca
0.0000 0.5000 0.2500 Au
0.0000 0.5000 0.7500 Au
0.5000 0.0000 0.2500 Au
0.5000 0.0000 0.7500 Au
0.0000 0.0000 0.5000 Se
0.5000 0.5000 0.0000 Se
```

Values from the calculation:
Its mass density is 7.44 g cm⁻³.

***

Short version: one is the least stable of them.

***

one:
First-principles (PBE-GGA) data for a geometry-optimized Ca2Au2Se structure, as listed in Alexandria.

Geometry as POSCAR:
```
Ca2Au2Se
1.0
7.8975 0.0000 0.0000
0.0000 7.8975 0.0000
0.0000 0.0000 3.9222
Ca Au Se
4 4 2
direct
0.1785 0.3215 0.0000 Ca
0.3215 0.8215 0.0000 Ca
0.6785 0.1785 0.0000 Ca
0.8215 0.6785 0.0000 Ca
0.1227 0.6227 0.5000 Au
0.3773 0.1227 0.5000 Au
0.6227 0.8773 0.5000 Au
0.8773 0.3773 0.5000 Au
0.0000 0.0000 0.5000 Se
0.5000 0.5000 0.5000 Se
```

Values from the calculation:
Its mass density is 7.51 g cm⁻³.

***

two:
First-principles (PBE-GGA) data for a geometry-optimized Ca2Au2Se structure, as listed in Alexandria.

Geometry as POSCAR:
```
Ca2Au2Se
1.0
7.9287 0.0000 0.0000
0.0000 7.9287 0.0000
0.0000 0.0000 4.1330
Ca Au Se
4 4 2
direct
0.1750 0.3250 0.0000 Ca
0.3250 0.8250 0.0000 Ca
0.6750 0.1750 0.0000 Ca
0.8250 0.6750 0.0000 Ca
0.1256 0.6256 0.5000 Au
0.3744 0.1256 0.5000 Au
0.6256 0.8744 0.5000 Au
0.8744 0.3744 0.5000 Au
0.0000 0.0000 0.0000 Se
0.5000 0.5000 0.0000 Se
```

Values from the calculation:
Its mass density is 7.07 g cm⁻³.

***

Short version: one is the least stable of them.

***

one:
First-principles (PBE-GGA) data for a geometry-optimized CaAu2Se2 structure, as listed in Alexandria.

Geometry as POSCAR:
```
CaAu2Se2
1.0
7.6757 0.0000 0.0000
0.0000 7.6757 0.0000
0.0000 0.0000 3.7839
Ca Au Se
2 4 4
direct
0.0000 0.0000 0.0000 Ca
0.5000 0.5000 0.0000 Ca
0.1228 0.3772 0.0000 Au
0.3772 0.8772 0.0000 Au
0.6228 0.1228 0.0000 Au
0.8772 0.6228 0.0000 Au
0.2016 0.7016 0.5000 Se
0.2984 0.2016 0.5000 Se
0.7016 0.7984 0.5000 Se
0.7984 0.2984 0.5000 Se
```

Values from the calculation:
Its mass density is 8.82 g cm⁻³.

***

two:
First-principles (PBE-GGA) data for a geometry-optimized CaAu2Se2 structure, as listed in Alexandria.

Geometry as POSCAR:
```
CaAu2Se2
1.0
4.3866 0.0000 0.0000
0.0000 4.3866 0.0000
0.0000 0.0000 12.1515
Ca Au Se
2 4 4
direct
0.0000 0.0000 0.0000 Ca
0.5000 0.5000 0.5000 Ca
0.0000 0.0000 0.3920 Au
0.0000 0.0000 0.6080 Au
0.5000 0.5000 0.1080 Au
0.5000 0.5000 0.8920 Au
0.0000 0.5000 0.2500 Se
0.0000 0.5000 0.7500 Se
0.5000 0.0000 0.2500 Se
0.5000 0.0000 0.7500 Se
```

Values from the calculation:
Its mass density is 8.41 g cm⁻³.

***

Short version: two is the least stable of them.

***

one:
First-principles (PBE-GGA) data for a geometry-optimized CaSiTeAuSe structure, as listed in Alexandria.

Geometry as POSCAR:
```
CaSiTeAuSe
1.0
11.7113 0.0000 0.0000
0.0000 4.1621 0.0000
-4.1464 0.0000 5.6608
Ca Si Te Au Se
2 2 2 2 2
direct
0.0000 0.0000 0.0000 Ca
0.5000 0.5000 0.0000 Ca
0.2228 0.0000 0.5998 Si
0.7228 0.5000 0.5998 Si
0.2929 0.0000 0.0250 Te
0.7929 0.5000 0.0250 Te
0.0873 0.5000 0.4196 Au
0.5873 0.0000 0.4196 Au
0.4408 0.0000 0.6674 Se
0.9408 0.5000 0.6674 Se
```

Values from the calculation:
Its mass density is 5.68 g cm⁻³.

***

two:
First-principles (PBE-GGA) data for a geometry-optimized CaSiTeAuSe structure, as listed in Alexandria.

Geometry as POSCAR:
```
CaSiTeAuSe
1.0
4.1869 0.0000 0.0000
0.0028 4.3565 0.0000
2.0673 1.9281 7.4131
Ca Si Te Au Se
1 1 1 1 1
direct
0.0000 0.0000 0.0000 Ca
0.6583 0.8970 0.6779 Si
0.7870 0.6184 0.4163 Te
0.2025 0.1915 0.5877 Au
0.5132 0.5067 0.9730 Se
```

Values from the calculation:
Its mass density is 5.79 g cm⁻³.

***

Short version: one is the least stable of them.

***

one:
First-principles (PBE-GGA) data for a geometry-optimized CaSiTeAuSe structure, as listed in Alexandria.

Geometry as POSCAR:
```
CaSiTeAuSe
1.0
4.8167 0.0000 0.0000
0.0000 4.9399 0.0000
-1.6588 0.0000 5.7852
Ca Si Te Au Se
1 1 1 1 1
direct
0.0000 0.0000 0.0000 Ca
0.5660 0.5000 0.7099 Si
0.3212 0.0000 0.5686 Te
0.0178 0.5000 0.6301 Au
0.6565 0.5000 0.1095 Se
```

Values from the calculation:
Its mass density is 5.69 g cm⁻³.

***

two:
First-principles (PBE-GGA) data for a geometry-optimized CaSiTeAuSe structure, as listed in Alexandria.

Geometry as POSCAR:
```
CaSiTeAuSe
1.0
11.2765 0.0000 0.0000
0.0000 4.2165 0.0000
-1.7562 0.0000 6.2681
Ca Si Te Au Se
2 2 2 2 2
direct
0.0000 0.0000 0.0000 Ca
0.5000 0.5000 0.0000 Ca
0.3448 0.0000 0.5358 Si
0.8448 0.5000 0.5358 Si
0.3169 0.0000 0.1356 Te
0.8169 0.5000 0.1356 Te
0.2552 0.5000 0.6060 Au
0.7552 0.0000 0.6060 Au
0.0492 0.5000 0.7324 Se
0.5492 0.0000 0.7324 Se
```

Values from the calculation:
Its mass density is 5.26 g cm⁻³.

***

three:
First-principles (PBE-GGA) data for a geometry-optimized CaSiTeAuSe structure, as listed in Alexandria.

Geometry as POSCAR:
```
CaSiTeAuSe
1.0
15.2938 0.0000 0.0000
0.0000 4.2676 0.0000
-1.0548 0.0000 4.1733
Ca Si Te Au Se
2 2 2 2 2
direct
0.0000 0.0000 0.0000 Ca
0.5000 0.5000 0.0000 Ca
0.1426 0.5000 0.9134 Si
0.6426 0.0000 0.9134 Si
0.2907 0.5000 0.6044 Te
0.7907 0.0000 0.6044 Te
0.2089 0.0000 0.8190 Au
0.7089 0.5000 0.8190 Au
0.4976 0.0000 0.4846 Se
0.9976 0.5000 0.4846 Se
```

Values from the calculation:
Its mass density is 5.75 g cm⁻³.

***

Short version: one is the least stable of them.